A plane-wave DFT calculation with PBE with a Hubbard U was carried out for a relaxed structure of Mn3BO5.

The total energy comes out at -283.718 eV per cell. The value obtained for the volume is 10.84 A^3/atom. The calculation puts the total moment at 14.000 μB/f.u. Its mass density is 4.3 g cm⁻³.

CIF file:
```
data_Mn3BO5
_space_group_name_H-M_alt 'P 1'
_space_group_IT_number 1
_cell_length_a 3.1711
_cell_length_b 9.5822
_cell_length_c 12.8481
_cell_angle_alpha 90.00
_cell_angle_beta 90.00
_cell_angle_gamma 90.00
loop_
_space_group_symop_operation_xyz
'x,y,z'
loop_
_atom_site_label
_atom_site_type_symbol
_atom_site_fract_x
_atom_site_fract_y
_atom_site_fract_z
Mn1 Mn 0.5000 0.0096 0.2785
Mn2 Mn 0.5000 0.9904 0.7215
Mn3 Mn 0.5000 0.5096 0.2215
Mn4 Mn 0.5000 0.4904 0.7785
Mn5 Mn 0.5000 0.0000 0.0000
Mn6 Mn 0.5000 0.5000 0.5000
Mn7 Mn 0.0000 0.5000 0.0000
Mn8 Mn 0.0000 0.0000 0.5000
Mn9 Mn 0.0000 0.2423 0.1164
Mn10 Mn 0.0000 0.7577 0.8836
Mn11 Mn 0.0000 0.7423 0.3836
Mn12 Mn 0.0000 0.2577 0.6164
B1 B 0.0000 0.2830 0.3581
B2 B 0.0000 0.7170 0.6419
B3 B 0.0000 0.7830 0.1419
B4 B 0.0000 0.2170 0.8581
O1 O 0.0000 0.1444 0.9529
O2 O 0.0000 0.8556 0.0471
O3 O 0.0000 0.6444 0.5471
O4 O 0.0000 0.3556 0.4529
O5 O 0.5000 0.1024 0.1336
O6 O 0.5000 0.8976 0.8664
O7 O 0.5000 0.6024 0.3664
O8 O 0.5000 0.3976 0.6336
O9 O 0.0000 0.1378 0.3559
O10 O 0.0000 0.8622 0.6441
O11 O 0.0000 0.6378 0.1441
O12 O 0.0000 0.3622 0.8559
O13 O 0.5000 0.3908 0.0780
O14 O 0.5000 0.6092 0.9220
O15 O 0.5000 0.8908 0.4220
O16 O 0.5000 0.1092 0.5780
O17 O 0.0000 0.3563 0.2649
O18 O 0.0000 0.6437 0.7351
O19 O 0.0000 0.8563 0.2351
O20 O 0.0000 0.1437 0.7649
```